Computed, not measured: a relaxed structure of HoMgCdIr at the PBE level of DFT.

Unit cell a=4.8399 b=4.8399 c=4.8399 alpha=60.00 beta=60.00 gamma=60.00
Last column: nearest neighbours and their distance in Å.
Sites, in units of the cell vectors:
1 Ho 0.0000 0.0000 0.0000  4 Cd 2.96, 4 Ir 2.96
2 Mg 0.5000 0.5000 0.5000  4 Cd 2.96, 4 Ir 2.96
3 Cd 0.7500 0.7500 0.7500  4 Ho 2.96, 4 Mg 2.96
4 Ir 0.2500 0.2500 0.2500  4 Ho 2.96, 4 Mg 2.96

Computed properties:
- Formation energy from the elements: -1.53 eV/f.u.
- Calculated total energy: -17.48 eV for the cell shown

***

Computed, not measured: a relaxed structure of RbNaAgH2 at the PBE level of DFT.

Unit cell a=7.6242 b=7.6242 c=4.6155 alpha=90.00 beta=90.00 gamma=115.33
Last column: nearest neighbours and their distance in Å.
Sites, in units of the cell vectors:
1 Rb 0.2500 0.7500 0.7520  4 H 3.02-3.09
2 Rb 0.7500 0.2500 0.2480  4 H 3.02-3.09
3 Na 0.2500 0.2500 0.5000  4 H 2.62
4 Na 0.7500 0.7500 0.5000  4 H 2.62
5 Ag 0.0000 0.0000 0.0000  2 H 1.72
6 Ag 0.5000 0.5000 0.0000  2 H 1.72
7 H 0.0949 0.9051 0.2626  1 Ag 1.72
8 H 0.4051 0.5949 0.2626  1 Ag 1.72
9 H 0.5949 0.4051 0.7374  1 Ag 1.72
10 H 0.9051 0.0949 0.7374  1 Ag 1.72

Computed properties:
- Calculated total energy: -23.30 eV for the cell shown

***

Computed, not measured: a relaxed structure of Dy5YHo2Tm at the PBE level of DFT.

Unit cell a=10.2897 b=10.2897 c=10.5108 alpha=90.00 beta=90.00 gamma=148.58
Last column: nearest neighbours and their distance in Å.
Sites, in units of the cell vectors:
1 Dy 0.0176 0.9824 0.5000  2 Y 3.19, 3 Ho 3.38-3.52
2 Dy 0.2801 0.7199 0.7884  1 Y 3.03, 1 Ho 3.31, 2 Dy 3.38
3 Dy 0.2998 0.7002 0.1869  4 Dy 3.38-3.72, 1 Y 3.46, 3 Ho 3.46-3.76, 3 Tm 3.47-3.76
4 Dy 0.3871 0.6129 0.5007  6 Dy 3.49-3.80, 4 Ho 3.54-3.58, 1 Tm 3.72
5 Dy 0.4796 0.5204 0.2176  2 Y 3.14-3.26, 2 Ho 3.43, 2 Dy 3.49
6 Dy 0.5204 0.4796 0.7176  2 Y 3.14-3.26, 2 Ho 3.43, 2 Dy 3.49
7 Dy 0.6129 0.3871 0.0007  6 Dy 3.49-3.80, 4 Ho 3.54-3.58, 1 Tm 3.72
8 Dy 0.7002 0.2998 0.6869  4 Dy 3.38-3.72, 1 Y 3.46, 3 Ho 3.46-3.76, 3 Tm 3.47-3.76
9 Dy 0.7199 0.2801 0.2884  1 Y 3.03, 1 Ho 3.31, 2 Dy 3.38
10 Dy 0.9824 0.0176 0.0000  2 Y 3.19, 3 Ho 3.38-3.52
11 Y 0.4119 0.5881 0.9348  5 Dy 3.03-3.26
12 Y 0.5881 0.4119 0.4348  5 Dy 3.03-3.26
13 Ho 0.1108 0.8892 0.2151  1 Tm 3.38, 7 Dy 3.40-3.76, 2 Y 3.65
14 Ho 0.1130 0.8870 0.7936  9 Dy 3.31-3.62, 1 Tm 3.62
15 Ho 0.8870 0.1130 0.2936  9 Dy 3.31-3.62, 1 Tm 3.62
16 Ho 0.8892 0.1108 0.7151  1 Tm 3.38, 7 Dy 3.40-3.76, 2 Y 3.65
17 Tm 0.1992 0.8008 0.4897  2 Ho 3.38-3.62, 8 Dy 3.47-3.76, 2 Y 3.60
18 Tm 0.8008 0.1992 0.9897  2 Ho 3.38-3.62, 8 Dy 3.47-3.76, 2 Y 3.60

Computed properties:
- Formation energy from the elements: 1.45 eV/f.u.
- Calculated total energy: -83.31 eV for the cell shown

***

Computed, not measured: a relaxed structure of Mg3Si4 at the PBE level of DFT.

Unit cell a=6.5084 b=7.8743 c=11.2494 alpha=73.04 beta=85.51 gamma=74.98
Last column: nearest neighbours and their distance in Å.
Sites, in units of the cell vectors:
1 Mg 0.0000 0.0000 0.0000  6 Si 2.70-2.96
2 Mg 0.0131 0.3880 0.3310  6 Si 2.70-3.01
3 Mg 0.1895 0.1142 0.6638  7 Si 2.80-3.13
4 Mg 0.2341 0.3575 0.8498  4 Si 2.65-2.92
5 Mg 0.3359 0.5545 0.0901  6 Si 2.76-3.06, 1 Mg 3.04
6 Mg 0.4123 0.6893 0.6823  5 Si 2.70-2.90
7 Mg 0.4445 0.9759 0.0830  5 Si 2.62-2.82
8 Mg 0.5013 0.4230 0.3550  5 Si 2.72-3.01, 1 Mg 3.04
9 Mg 0.6700 0.0439 0.7590  7 Si 2.78-3.12
10 Mg 0.7005 0.7365 0.4073  4 Si 2.66-2.89
11 Mg 0.8041 0.1083 0.2384  4 Si 2.68-2.93
12 Mg 0.9125 0.6774 0.6543  4 Si 2.74-2.82, 1 Mg 3.06
13 Si 0.0529 0.7745 0.8422  2 Si 2.43
14 Si 0.0550 0.7457 0.2366  2 Si 2.41-2.62
15 Si 0.1017 0.2592 0.1030  2 Si 2.39-2.41
16 Si 0.1627 0.7054 0.4456  3 Si 2.41-2.48
17 Si 0.2418 0.9927 0.4424  4 Si 2.41-2.50
18 Si 0.3661 0.4191 0.5901  2 Si 2.45-2.48, 2 Mg 2.71-2.72
19 Si 0.3735 0.1800 0.2574  2 Si 2.41
20 Si 0.3744 0.8454 0.8883  2 Si 2.43-2.50
21 Si 0.5764 0.9671 0.5459  2 Si 2.41-2.48, 2 Mg 2.66-2.70
22 Si 0.6212 0.2484 0.9465  2 Si 2.37-2.41
23 Si 0.6491 0.5555 0.8937  4 Si 2.36-2.60
24 Si 0.7131 0.6633 0.1861  2 Si 2.39-2.62, 1 Mg 2.62
25 Si 0.7497 0.3909 0.5689  3 Si 2.43-2.45
26 Si 0.8612 0.1201 0.4914  3 Si 2.41-2.50, 1 Mg 2.70
27 Si 0.8696 0.3223 0.7811  3 Si 2.41-2.60, 1 Mg 2.66
28 Si 0.9144 0.5717 0.0188  4 Si 2.36-2.43

Computed properties:
- Distance to the lowest polymorph of the same formula: 20.7 meV/atom
- Calculated total energy: -103.86 eV for the cell shown
- Uncorrected formation energy: 0.073 eV per atom

***

Computed, not measured: a relaxed structure of Pa2AlTl at the PBE level of DFT.

Unit cell a=11.9906 b=11.9906 c=11.9906 alpha=15.03 beta=15.03 gamma=15.03
Last column: nearest neighbours and their distance in Å.
Sites, in units of the cell vectors:
1 Pa 0.0852 0.0852 0.0852  1 Al 3.03, 6 Pa 3.14
2 Pa 0.9148 0.9148 0.9148  1 Al 3.03, 6 Pa 3.14
3 Al 0.0000 0.0000 0.0000  2 Pa 3.03, 6 Al 3.14
4 Tl 0.5000 0.5000 0.5000  6 Tl 3.14, 6 Pa 3.42

Computed properties:
- Formation energy from the elements: 1.42 eV/f.u.
- Calculated total energy: -23.68 eV for the cell shown

***

Computed, not measured: a relaxed structure of Li4Pu3AuS8 at the PBE level of DFT.

Unit cell a=7.6552 b=7.6552 c=7.5520 alpha=117.71 beta=117.71 gamma=59.62
Last column: nearest neighbours and their distance in Å.
Sites, in units of the cell vectors:
1 Li 0.0000 0.0000 0.0000  6 S 2.54-2.75
2 Li 0.0000 0.5000 0.5000  6 S 2.64-2.88
3 Li 0.5000 0.0000 0.5000  6 S 2.64-2.88
4 Li 0.5000 0.5000 0.0000  6 S 2.65-2.87
5 Pu 0.0000 0.0000 0.5000  6 S 2.72-2.75
6 Pu 0.0000 0.5000 0.0000  6 S 2.68-2.74
7 Pu 0.5000 0.0000 0.0000  6 S 2.68-2.74
8 Au 0.5000 0.5000 0.5000  4 S 2.62
9 S 0.2266 0.2266 0.2257  3 Li 2.54-2.71, 2 Pu 2.68
10 S 0.2449 0.2449 0.7377  3 Li 2.64-2.87, 3 Pu 2.72-2.75
11 S 0.2530 0.7345 0.2472  1 Au 2.62, 3 Li 2.65-2.88, 2 Pu 2.72-2.74
12 S 0.2655 0.7470 0.7528  1 Au 2.62, 3 Li 2.65-2.88, 2 Pu 2.72-2.74
13 S 0.7345 0.2530 0.2472  1 Au 2.62, 3 Li 2.65-2.88, 2 Pu 2.72-2.74
14 S 0.7470 0.2655 0.7528  1 Au 2.62, 3 Li 2.65-2.88, 2 Pu 2.72-2.74
15 S 0.7551 0.7551 0.2623  3 Li 2.64-2.87, 3 Pu 2.72-2.75
16 S 0.7734 0.7734 0.7743  3 Li 2.54-2.71, 2 Pu 2.68

Computed properties:
- Calculated total energy: -107.14 eV for the cell shown
- Uncorrected formation energy: -1.262 eV per atom

***

Computed, not measured: a relaxed structure of MgSi2Os at the PBE level of DFT.

Unit cell a=4.6285 b=4.6285 c=9.5211 alpha=112.57 beta=112.57 gamma=40.73
Last column: nearest neighbours and their distance in Å.
Sites, in units of the cell vectors:
1 Mg 0.1400 0.1400 0.1940  5 Si 2.59-2.78, 3 Os 2.75-2.88
2 Mg 0.8600 0.8600 0.8060  5 Si 2.59-2.78, 3 Os 2.75-2.88
3 Si 0.1681 0.1681 0.5608  5 Os 2.52-2.62, 3 Si 2.66-2.70, 2 Mg 2.76
4 Si 0.3546 0.3546 0.0689  2 Si 2.38, 1 Os 2.43, 1 Mg 2.59
5 Si 0.6454 0.6454 0.9311  2 Si 2.38, 1 Os 2.43, 1 Mg 2.59
6 Si 0.8319 0.8319 0.4392  5 Os 2.52-2.62, 3 Si 2.66-2.70, 2 Mg 2.76
7 Os 0.4970 0.4970 0.6520  6 Si 2.43-2.62
8 Os 0.5030 0.5030 0.3480  6 Si 2.43-2.62

Computed properties:
- Calculated total energy: -49.26 eV for the cell shown
- Uncorrected formation energy: -0.240 eV per atom

***

Computed, not measured: a relaxed structure of Mg3Au at the PBE level of DFT.

Unit cell a=4.7589 b=4.7589 c=4.7589 alpha=60.00 beta=60.00 gamma=60.00
Last column: nearest neighbours and their distance in Å.
Sites, in units of the cell vectors:
1 Mg 0.0000 0.0000 0.0000  8 Mg 2.91
2 Mg 0.2500 0.2500 0.2500  4 Au 2.91, 4 Mg 2.91
3 Mg 0.7500 0.7500 0.7500  4 Au 2.91, 4 Mg 2.91
4 Au 0.5000 0.5000 0.5000  8 Mg 2.91

Computed properties:
- Distance to the lowest polymorph of the same formula: 97.3 meV/atom
- Formation energy from the elements: -1.28 eV/f.u.
- Calculated total energy: -9.34 eV for the cell shown

***

Number 1: total magnetization 0.00 μB/f.u.. Number 2: total magnetization 0.00 μB/f.u.. Number 3: total magnetization 0.00 μB/f.u.. Number 4: total magnetization 0.00 μB/f.u.. Number 5: total magnetization 0.34 μB/f.u.. Number 6: total magnetization 13.15 μB/f.u.. Number 7: total magnetization 0.00 μB/f.u.. Number 8: total magnetization 0.00 μB/f.u..